# Na5BrF4

An optimized crystal structure of Na5BrF4 (PBE-GGA, Alexandria).

Properties
Formation energy (no corrections) ... -2.418 eV per atom
Magnetization ... 0.0 μB/f.u.
Calculated volume ... 465 Å³/cell

Lattice parameters (Å, degrees): 3.5339 3.5339 42.9777 90.00 90.00 120.00
Space group R-3m (No. 166, hexagonal axes)
Inequivalent atoms, fractional coordinates:
Na 0.0000 0.0000 0.0000 x3
Na 0.0000 0.0000 0.2126 x6
Na 0.0000 0.0000 0.3934 x6
Br 0.0000 0.0000 0.5000 x3
F 0.0000 0.0000 0.0902 x6
F 0.0000 0.0000 0.3033 x6



# NaBrF6

An optimized crystal structure of NaBrF6 (PBE-GGA, Alexandria).

Properties
Formation energy (no corrections) ... -1.450 eV per atom
Magnetization ... 0.0 μB/f.u.
Calculated volume ... 241 Å³/cell

Lattice parameters (Å, degrees): 5.643 8.467 5.156 90.00 101.65 90.00
Space group C2/m (No. 12)
Inequivalent atoms, fractional coordinates:
Na 0.000 0.000 0.000 x2
Br 0.000 0.500 0.500 x2
F 0.173 0.346 0.733 x8
F 0.249 0.000 0.694 x4



# NaBrF4

An optimized crystal structure of NaBrF4 (PBE-GGA, Alexandria).

Properties
Formation energy (no corrections) ... -1.560 eV per atom
Magnetization ... 0.0 μB/f.u.
Calculated volume ... 202 Å³/cell
Energy above the lowest structure with this stoichiometry ... 44 meV per atom

Lattice parameters (Å, degrees): 5.900 5.900 5.814 90.00 90.00 90.00
Space group I-4 (No. 82)
Inequivalent atoms, fractional coordinates:
Na 0.000 0.000 0.000 x2
Br 0.000 0.500 0.750 x2
F 0.230 0.266 0.750 x8



# Na2BrF

An optimized crystal structure of Na2BrF (PBE-GGA, Alexandria).

Properties
Formation energy (no corrections) ... -2.034 eV per atom
Magnetization ... 0.0 μB/f.u.
Calculated volume ... 237 Å³/cell
Energy above the lowest structure with this stoichiometry ... 87 meV per atom

Lattice parameters (Å, degrees): 3.8102 3.8102 18.8181 90.00 90.00 120.00
Space group R-3m (No. 166, hexagonal axes)
Inequivalent atoms, fractional coordinates:
Na 0.0000 0.0000 0.2336 x6
Br 0.0000 0.0000 0.0000 x3
F 0.0000 0.0000 0.5000 x3



# Na2BrF

An optimized crystal structure of Na2BrF (PBE-GGA, Alexandria).

Properties
Formation energy (no corrections) ... -2.067 eV per atom
Magnetization ... 0.0 μB/f.u.
Calculated volume ... 361 Å³/cell
Energy above the lowest structure with this stoichiometry ... 55 meV per atom

Lattice parameters (Å, degrees): 6.573 6.573 8.350 90.00 90.00 90.00
Space group I-42d (No. 122)
Inequivalent atoms, fractional coordinates:
Na 0.168 0.250 0.125 x8
Br 0.000 0.000 0.500 x4
F 0.000 0.000 0.000 x4



# NaBrF

An optimized crystal structure of NaBrF (PBE-GGA, Alexandria).

Properties
Formation energy (no corrections) ... -1.388 eV per atom
Magnetization ... 1.0 μB/f.u.
Calculated volume ... 72 Å³/cell
Energy above the lowest structure with this stoichiometry ... 352 meV per atom

Lattice parameters (Å, degrees): 3.6688 3.6688 6.1511 90.00 90.00 120.00
Space group P-6m2 (No. 187)
Inequivalent atoms, fractional coordinates:
Na 0.0000 0.0000 0.0000 x1
Br 0.3333 0.6667 0.5000 x1
F 0.6667 0.3333 0.0000 x1